1.
First-principles (PBE) data for a relaxed structure of Ba8Tl2Sb, as listed in Alexandria.

Results
E_form (uncorrected) in eV/atom: -0.372
Total magnetization in μB per cell: 0.00

Cell: 21.705 6.020 8.415 Å, 90.00 107.78 90.00°
Space group C2/m (No. 12)
One atom of each set of equivalent atoms:
Ba: 0.029 0.000 0.289 [4 per cell]
Ba: 0.096 0.500 0.934 [4 per cell]
Ba: 0.164 0.500 0.459 [4 per cell]
Ba: 0.207 0.000 0.812 [4 per cell]
Tl: 0.182 0.000 0.206 [4 per cell]
Sb: 0.000 0.500 0.500 [2 per cell]

=====

2.
First-principles (PBE) data for a relaxed structure of LuMg2In, as listed in Alexandria.

Results
Formation energy in eV per atom: -0.23
Total magnetization in μB per cell: 0.00
E above lowest polymorph in meV per atom: 0

Cell: 4.464 4.464 4.750 Å, 90.00 90.00 90.00°
Space group P4/mmm (No. 123)
One atom of each set of equivalent atoms:
Lu: 0.000 0.000 0.000 [1 per cell]
Mg: 0.000 0.500 0.500 [2 per cell]
In: 0.500 0.500 0.000 [1 per cell]

=====

3.
First-principles (PBE) data for a relaxed structure of ThSn2Sb2Pd7, as listed in Alexandria.

Results
E_form (uncorrected) in eV/atom: -0.491
Total magnetization in μB per cell: 0.00

Cell: 5.778 5.797 15.522 Å, 90.00 94.30 90.00°
Space group C2/m (No. 12)
One atom of each set of equivalent atoms:
Th: 0.000 0.000 0.000 [2 per cell]
Sn: 0.139 0.000 0.415 [4 per cell]
Sb: 0.053 0.500 0.252 [4 per cell]
Pd: 0.000 0.500 0.000 [2 per cell]
Pd: 0.127 0.500 0.423 [4 per cell]
Pd: 0.221 0.250 0.860 [8 per cell]

=====

4.
First-principles (PBE) data for a relaxed structure of Hf2PaC, as listed in Alexandria.

Results
Formation energy in eV per atom: -0.43
Total magnetization in μB per cell: 0.00
E above lowest polymorph in meV per atom: 0

Cell: 3.2327 3.2327 24.8586 Å, 90.00 90.00 120.00°
Space group R3m (No. 160, hexagonal axes)
One atom of each set of equivalent atoms:
Hf: 0.0000 0.0000 0.0000 [3 per cell]
Hf: 0.0000 0.0000 0.2292 [3 per cell]
Pa: 0.0000 0.0000 0.4474 [3 per cell]
C: 0.0000 0.0000 0.6139 [3 per cell]

=====

5.
First-principles (PBE) data for a relaxed structure of RbTbZnO3, as listed in Alexandria.

Results
E_form (uncorrected) in eV/atom: -2.211
Total magnetization in μB per cell: 0.00

Cell: 7.922 3.563 8.357 Å, 90.00 106.59 90.00°
Space group P2_1/m (No. 11)
One atom of each set of equivalent atoms:
Rb: 0.200 0.250 0.215 [2 per cell]
Tb: 0.344 0.750 0.856 [2 per cell]
Zn: 0.081 0.250 0.614 [2 per cell]
O: 0.152 0.250 0.855 [2 per cell]
O: 0.167 0.750 0.548 [2 per cell]
O: 0.466 0.750 0.131 [2 per cell]

=====

6.
First-principles (PBE) data for a relaxed structure of TlBRh3, as listed in Alexandria.

Results
Formation energy in eV per atom: -0.08
Total magnetization in μB per cell: 0.00

Cell: 3.034 5.734 4.226 Å, 90.00 90.18 90.00°
Space group Pm (No. 6)
One atom of each set of equivalent atoms:
Tl: 0.000 0.000 0.000 [1 per cell]
B: 0.000 0.500 0.500 [1 per cell]
Rh: 0.004 0.500 0.000 [1 per cell]
Rh: 0.500 0.250 0.500 [2 per cell]

=====

7.
First-principles (PBE) data for a relaxed structure of BaMgRh, as listed in Alexandria.

Results
Formation energy in eV per atom: 0.76
Total magnetization in μB per cell: 0.00

Cell: 7.302 7.302 7.302 Å, 90.00 90.00 90.00°
Space group F-43m (No. 216)
One atom of each set of equivalent atoms:
Ba: 0.000 0.000 0.000 [4 per cell]
Mg: 0.250 0.250 0.250 [4 per cell]
Rh: 0.250 0.250 0.750 [4 per cell]

=====

8.
First-principles (PBE) data for a relaxed structure of Na2InBS4, as listed in Alexandria.

Results
E_form (uncorrected) in eV/atom: -0.772
Total magnetization in μB per cell: 0.00

Cell: 6.235 6.235 9.069 Å, 90.00 90.00 90.00°
Space group I-4 (No. 82)
One atom of each set of equivalent atoms:
Na: 0.000 0.000 0.000 [2 per cell]
Na: 0.000 0.500 0.250 [2 per cell]
In: 0.000 0.000 0.500 [2 per cell]
B: 0.000 0.500 0.750 [2 per cell]
S: 0.176 0.702 0.640 [8 per cell]

=====

9.
First-principles (PBE) data for a relaxed structure of Mg2InW, as listed in Alexandria.

Results
Formation energy in eV per atom: 0.36
Total magnetization in μB per cell: 0.00

Cell: 3.752 4.431 9.519 Å, 90.00 90.00 90.00°
Space group Cmm2 (No. 35)
One atom of each set of equivalent atoms:
Mg: 0.000 0.000 0.000 [2 per cell]
Mg: 0.000 0.500 0.266 [2 per cell]
In: 0.000 0.500 0.734 [2 per cell]
W: 0.000 0.000 0.495 [2 per cell]

=====

10.
First-principles (PBE) data for a relaxed structure of Hf3CuNi, as listed in Alexandria.

Results
Formation energy in eV per atom: 0.46
Total magnetization in μB per cell: 0.00
E above lowest polymorph in meV per atom: 636

Cell: 4.761 4.761 4.761 Å, 90.00 90.00 90.00°
Space group Pm-3m (No. 221)
One atom of each set of equivalent atoms:
Hf: 0.000 0.000 0.500 [3 per cell]
Cu: 0.500 0.500 0.500 [1 per cell]
Ni: 0.000 0.000 0.000 [1 per cell]

=====

11.
First-principles (PBE) data for a relaxed structure of Pm3InPd, as listed in Alexandria.

Results
Formation energy in eV per atom: -0.42
Total magnetization in μB per cell: 1.14

Cell: 7.455 7.455 7.455 Å, 90.00 90.00 90.00°
Space group Pm-3m (No. 221)
One atom of each set of equivalent atoms:
Pm: 0.000 0.000 0.000 [1 per cell]
Pm: 0.268 0.268 0.268 [8 per cell]
In: 0.000 0.000 0.500 [3 per cell]
Pd: 0.000 0.500 0.500 [3 per cell]

=====

12.
First-principles (PBE) data for a relaxed structure of Ac7Sn2Ru2, as listed in Alexandria.

Results
Formation energy in eV per atom: -0.27
Total magnetization in μB per cell: 0.00

Cell: 8.658 12.233 7.551 Å, 90.00 90.00 90.00°
Space group Cmmm (No. 65)
One atom of each set of equivalent atoms:
Ac: 0.000 0.000 0.000 [2 per cell]
Ac: 0.000 0.500 0.243 [4 per cell]
Ac: 0.250 0.250 0.252 [8 per cell]
Sn: 0.166 0.000 0.500 [4 per cell]
Ru: 0.000 0.299 0.000 [4 per cell]

=====

13.
First-principles (PBE) data for a relaxed structure of LaTb2Ga3, as listed in Alexandria.

Results
Formation energy in eV per atom: -0.58
Total magnetization in μB per cell: 0.00

Cell: 3.628 3.628 11.054 Å, 90.00 90.00 90.00°
Space group P4/mmm (No. 123)
One atom of each set of equivalent atoms:
La: 0.000 0.000 0.000 [1 per cell]
Tb: 0.000 0.000 0.339 [2 per cell]
Ga: 0.500 0.500 0.183 [2 per cell]
Ga: 0.500 0.500 0.500 [1 per cell]

=====

14.
First-principles (PBE) data for a relaxed structure of CaLaMo, as listed in Alexandria.

Results
Formation energy in eV per atom: 0.63
Total magnetization in μB per cell: 0.00
E above lowest polymorph in meV per atom: 50

Cell: 5.1507 5.1507 3.3044 Å, 90.00 90.00 120.00°
Space group P-6m2 (No. 187)
One atom of each set of equivalent atoms:
Ca: 0.0000 0.0000 0.0000 [1 per cell]
La: 0.3333 0.6667 0.5000 [1 per cell]
Mo: 0.6667 0.3333 0.5000 [1 per cell]

=====

15.
First-principles (PBE) data for a relaxed structure of CaLa3Pm7, as listed in Alexandria.

Results
Formation energy in eV per atom: 0.24
Total magnetization in μB per cell: 0.01
E above lowest polymorph in meV per atom: 28

Cell: 6.099 11.443 11.489 Å, 90.00 90.00 90.00°
Space group Immm (No. 71)
One atom of each set of equivalent atoms:
Ca: 0.000 0.000 0.000 [2 per cell]
La: 0.000 0.217 0.500 [4 per cell]
La: 0.000 0.500 0.000 [2 per cell]
Pm: 0.000 0.000 0.297 [4 per cell]
Pm: 0.000 0.301 0.204 [8 per cell]
Pm: 0.000 0.500 0.500 [2 per cell]

=====

16.
First-principles (PBE) data for a relaxed structure of LaCr3Ni, as listed in Alexandria.

Results
Formation energy in eV per atom: 2.16
Total magnetization in μB per cell: 0.00
E above lowest polymorph in meV per atom: 1033

Cell: 4.411 4.411 4.411 Å, 90.00 90.00 90.00°
Space group Pm-3m (No. 221)
One atom of each set of equivalent atoms:
La: 0.000 0.000 0.000 [1 per cell]
Cr: 0.000 0.000 0.500 [3 per cell]
Ni: 0.500 0.500 0.500 [1 per cell]

=====

17.
First-principles (PBE) data for a relaxed structure of AcDyYLu, as listed in Alexandria.

Results
Formation energy in eV per atom: 0.11
Total magnetization in μB per cell: 0.00
E above lowest polymorph in meV per atom: 0

Cell: 8.205 8.205 8.205 Å, 90.00 90.00 90.00°
Space group F-43m (No. 216)
One atom of each set of equivalent atoms:
Ac: 0.000 0.000 0.000 [4 per cell]
Dy: 0.000 0.000 0.500 [4 per cell]
Y: 0.250 0.250 0.750 [4 per cell]
Lu: 0.250 0.250 0.250 [4 per cell]

=====

18.
First-principles (PBE) data for a relaxed structure of Na2UPtS4, as listed in Alexandria.

Results
E_form (uncorrected) in eV/atom: -0.844
Total magnetization in μB per cell: 1.05

Cell: 7.019 7.019 6.455 Å, 90.00 90.00 90.00°
Space group I-42m (No. 121)
One atom of each set of equivalent atoms:
Na: 0.000 0.500 0.000 [4 per cell]
U: 0.000 0.000 0.000 [2 per cell]
Pt: 0.000 0.000 0.500 [2 per cell]
S: 0.191 0.191 0.268 [8 per cell]

=====

19.
First-principles (PBE) data for a relaxed structure of Rb2ReBr6O, as listed in Alexandria.

Results
E_form (uncorrected) in eV/atom: -0.559
Total magnetization in μB per cell: 5.61

Cell: 7.204 7.204 11.640 Å, 90.00 90.00 90.00°
Space group I4/mmm (No. 139)
One atom of each set of equivalent atoms:
Rb: 0.000 0.500 0.250 [4 per cell]
Re: 0.000 0.000 0.000 [2 per cell]
Br: 0.000 0.000 0.218 [4 per cell]
Br: 0.249 0.249 0.500 [8 per cell]
O: 0.000 0.000 0.500 [2 per cell]

=====

20.
First-principles (PBE) data for a relaxed structure of Sr2EuNi, as listed in Alexandria.

Results
Formation energy in eV per atom: 0.19
Total magnetization in μB per cell: 22.67

Cell: 4.0904 4.0904 34.0084 Å, 90.00 90.00 120.00°
Space group R-3m (No. 166, hexagonal axes)
One atom of each set of equivalent atoms:
Sr: 0.0000 0.0000 0.1158 [6 per cell]
Eu: 0.0000 0.0000 0.0000 [3 per cell]
Ni: 0.0000 0.0000 0.5000 [3 per cell]

=====

21.
First-principles (PBE) data for a relaxed structure of Mo5Os4, as listed in Alexandria.

Results
Formation energy in eV per atom: 0.11
Total magnetization in μB per cell: 0.00
E above lowest polymorph in meV per atom: 0

Cell: 8.417 8.417 3.891 Å, 90.00 90.00 90.00°
Space group I4/mmm (No. 139)
One atom of each set of equivalent atoms:
Mo: 0.000 0.000 0.000 [2 per cell]
Mo: 0.173 0.173 0.500 [8 per cell]
Os: 0.000 0.344 0.000 [8 per cell]

=====

22.
First-principles (PBE) data for a relaxed structure of Nd2AlZn2, as listed in Alexandria.

Results
Formation energy in eV per atom: -0.34
Total magnetization in μB per cell: 0.00
E above lowest polymorph in meV per atom: 0

Cell: 4.308 5.750 9.403 Å, 90.00 90.00 90.00°
Space group Immm (No. 71)
One atom of each set of equivalent atoms:
Nd: 0.000 0.000 0.205 [4 per cell]
Al: 0.000 0.500 0.000 [2 per cell]
Zn: 0.000 0.266 0.500 [4 per cell]

=====

23.
First-principles (PBE) data for a relaxed structure of BaIrS2Cl, as listed in Alexandria.

Results
E_form (uncorrected) in eV/atom: -0.833
Total magnetization in μB per cell: 0.00
E above lowest polymorph in meV per atom: 0

Cell: 4.751 4.751 5.091 Å, 90.00 90.00 90.00°
Space group P4/mmm (No. 123)
One atom of each set of equivalent atoms:
Ba: 0.000 0.000 0.000 [1 per cell]
Ir: 0.500 0.500 0.500 [1 per cell]
S: 0.000 0.500 0.500 [2 per cell]
Cl: 0.500 0.500 0.000 [1 per cell]

=====

24.
First-principles (PBE) data for a relaxed structure of Fe4RhPb, as listed in Alexandria.

Results
Formation energy in eV per atom: 0.22
Total magnetization in μB per cell: 44.04

Cell: 6.994 6.994 6.994 Å, 90.00 90.00 90.00°
Space group F-43m (No. 216)
One atom of each set of equivalent atoms:
Fe: 0.125 0.125 0.125 [16 per cell]
Rh: 0.000 0.000 0.500 [4 per cell]
Pb: 0.250 0.250 0.750 [4 per cell]

=====

25.
First-principles (PBE) data for a relaxed structure of FeRe2MoPb, as listed in Alexandria.

Results
Formation energy in eV per atom: 2.18
Total magnetization in μB per cell: 3.07

Cell: 4.732 4.732 5.196 Å, 90.00 90.00 90.00°
Space group P4/mmm (No. 123)
One atom of each set of equivalent atoms:
Fe: 0.000 0.000 0.000 [1 per cell]
Re: 0.000 0.500 0.500 [2 per cell]
Mo: 0.500 0.500 0.500 [1 per cell]
Pb: 0.500 0.500 0.000 [1 per cell]

=====

26.
First-principles (PBE) data for a relaxed structure of ScMn2TlS, as listed in Alexandria.

Results
E_form (uncorrected) in eV/atom: 0.067
Total magnetization in μB per cell: 0.00

Cell: 4.226 4.226 4.735 Å, 90.00 90.00 90.00°
Space group P4/mmm (No. 123)
One atom of each set of equivalent atoms:
Sc: 0.000 0.000 0.000 [1 per cell]
Mn: 0.000 0.500 0.500 [2 per cell]
Tl: 0.500 0.500 0.000 [1 per cell]
S: 0.000 0.000 0.500 [1 per cell]